[1]
# Ag2Sn3Te4, relaxed, DFT PBE
data_Ag2Sn3Te4
_chemical_formula_sum 'Ag2 Sn3 Te4'
_cell_length_a 7.785
_cell_length_b 7.785
_cell_length_c 10.065
_cell_angle_alpha 126.11
_cell_angle_beta 126.11
_cell_angle_gamma 34.09
_symmetry_space_group_name_H-M 'P 1'
_symmetry_Int_Tables_number 1
loop_
_symmetry_equiv_pos_as_xyz
'x,y,z'
loop_
_atom_site_label
_atom_site_type_symbol
_atom_site_fract_x
_atom_site_fract_y
_atom_site_fract_z
Ag1 Ag 0.188 0.188 0.387
Ag2 Ag 0.812 0.812 0.613
Sn1 Sn 0.123 0.123 0.745
Sn2 Sn 0.500 0.500 0.000
Sn3 Sn 0.877 0.877 0.255
Te1 Te 0.183 0.183 0.092
Te2 Te 0.436 0.436 0.632
Te3 Te 0.564 0.564 0.368
Te4 Te 0.817 0.817 0.908
# SG = C2/m, No. 12
# Raw total energy = -3.539 eV per atom
# Total magnetization = 0.000 μB per atom
# Raw formation energy = -0.175 eV per atom

***

[2]
# ThAgSnTe, relaxed, DFT PBE
data_ThAgSnTe
_chemical_formula_sum 'Th2 Ag2 Sn2 Te2'
_cell_length_a 4.584
_cell_length_b 4.584
_cell_length_c 9.867
_cell_angle_alpha 90.00
_cell_angle_beta 90.00
_cell_angle_gamma 90.00
_symmetry_space_group_name_H-M 'P 1'
_symmetry_Int_Tables_number 1
loop_
_symmetry_equiv_pos_as_xyz
'x,y,z'
loop_
_atom_site_label
_atom_site_type_symbol
_atom_site_fract_x
_atom_site_fract_y
_atom_site_fract_z
Th1 Th 0.250 0.250 0.241
Th2 Th 0.750 0.750 0.759
Ag1 Ag 0.250 0.750 0.500
Ag2 Ag 0.750 0.250 0.500
Sn1 Sn 0.250 0.250 0.681
Sn2 Sn 0.750 0.750 0.319
Te1 Te 0.250 0.750 0.000
Te2 Te 0.750 0.250 0.000
# SG = P4/nmm, No. 129
# Raw total energy = -4.919 eV per atom
# Total magnetization = 0.000 μB per atom
# Raw formation energy = -0.565 eV per atom

***

[3]
# TlAgSn2Te4, relaxed, DFT PBE
data_TlAgSn2Te4
_chemical_formula_sum 'Tl1 Ag1 Sn2 Te4'
_cell_length_a 7.616
_cell_length_b 4.442
_cell_length_c 7.636
_cell_angle_alpha 90.00
_cell_angle_beta 108.61
_cell_angle_gamma 90.00
_symmetry_space_group_name_H-M 'P 1'
_symmetry_Int_Tables_number 1
loop_
_symmetry_equiv_pos_as_xyz
'x,y,z'
loop_
_atom_site_label
_atom_site_type_symbol
_atom_site_fract_x
_atom_site_fract_y
_atom_site_fract_z
Tl1 Tl 0.000 0.000 0.000
Ag1 Ag 0.500 0.500 0.000
Sn1 Sn 0.000 0.500 0.500
Sn2 Sn 0.500 0.000 0.500
Te1 Te 0.264 0.000 0.753
Te2 Te 0.269 0.500 0.254
Te3 Te 0.731 0.500 0.746
Te4 Te 0.736 0.000 0.247
# SG = P2/m, No. 10
# Raw total energy = -3.416 eV per atom
# Total magnetization = 0.000 μB per atom
# Raw formation energy = -0.192 eV per atom

***

[4]
# TlAg2SnTe4, relaxed, DFT PBE
data_TlAg2SnTe4
_chemical_formula_sum 'Tl2 Ag4 Sn2 Te8'
_cell_length_a 7.697
_cell_length_b 7.697
_cell_length_c 9.043
_cell_angle_alpha 90.00
_cell_angle_beta 90.00
_cell_angle_gamma 90.00
_symmetry_space_group_name_H-M 'P 1'
_symmetry_Int_Tables_number 1
loop_
_symmetry_equiv_pos_as_xyz
'x,y,z'
loop_
_atom_site_label
_atom_site_type_symbol
_atom_site_fract_x
_atom_site_fract_y
_atom_site_fract_z
Tl1 Tl 0.000 0.000 0.000
Tl2 Tl 0.500 0.500 0.500
Ag1 Ag 0.000 0.500 0.250
Ag2 Ag 0.000 0.500 0.750
Ag3 Ag 0.500 0.000 0.250
Ag4 Ag 0.500 0.000 0.750
Sn1 Sn 0.000 0.000 0.500
Sn2 Sn 0.500 0.500 0.000
Te1 Te 0.214 0.214 0.672
Te2 Te 0.214 0.786 0.328
Te3 Te 0.286 0.286 0.172
Te4 Te 0.286 0.714 0.828
Te5 Te 0.714 0.286 0.828
Te6 Te 0.714 0.714 0.172
Te7 Te 0.786 0.214 0.328
Te8 Te 0.786 0.786 0.672
# SG = I-42m, No. 121
# Raw total energy = -3.191 eV per atom
# Total magnetization = 0.000 μB per atom
# Raw formation energy = -0.111 eV per atom

***

[5]
# Tl2AgSn2Te4, relaxed, DFT PBE
data_Tl2AgSn2Te4
_chemical_formula_sum 'Tl2 Ag1 Sn2 Te4'
_cell_length_a 9.136
_cell_length_b 9.136
_cell_length_c 7.991
_cell_angle_alpha 97.81
_cell_angle_beta 97.81
_cell_angle_gamma 27.00
_symmetry_space_group_name_H-M 'P 1'
_symmetry_Int_Tables_number 1
loop_
_symmetry_equiv_pos_as_xyz
'x,y,z'
loop_
_atom_site_label
_atom_site_type_symbol
_atom_site_fract_x
_atom_site_fract_y
_atom_site_fract_z
Tl1 Tl 0.111 0.111 0.035
Tl2 Tl 0.889 0.889 0.965
Ag1 Ag 0.000 0.000 0.500
Sn1 Sn 0.343 0.343 0.445
Sn2 Sn 0.657 0.657 0.555
Te1 Te 0.245 0.245 0.758
Te2 Te 0.492 0.492 0.255
Te3 Te 0.508 0.508 0.745
Te4 Te 0.755 0.755 0.242
# SG = C2/m, No. 12
# Raw total energy = -3.308 eV per atom
# Total magnetization = 0.000 μB per atom
# Raw formation energy = -0.179 eV per atom

***

[6]
# TmAgSnTe3, relaxed, DFT PBE
data_TmAgSnTe3
_chemical_formula_sum 'Tm2 Ag2 Sn2 Te6'
_cell_length_a 8.810
_cell_length_b 4.321
_cell_length_c 9.848
_cell_angle_alpha 90.00
_cell_angle_beta 104.50
_cell_angle_gamma 90.00
_symmetry_space_group_name_H-M 'P 1'
_symmetry_Int_Tables_number 1
loop_
_symmetry_equiv_pos_as_xyz
'x,y,z'
loop_
_atom_site_label
_atom_site_type_symbol
_atom_site_fract_x
_atom_site_fract_y
_atom_site_fract_z
Tm1 Tm 0.179 0.250 0.174
Tm2 Tm 0.821 0.750 0.826
Ag1 Ag 0.415 0.750 0.414
Ag2 Ag 0.585 0.250 0.586
Sn1 Sn 0.306 0.750 0.753
Sn2 Sn 0.694 0.250 0.247
Te1 Te 0.073 0.250 0.849
Te2 Te 0.235 0.250 0.492
Te3 Te 0.407 0.750 0.126
Te4 Te 0.593 0.250 0.874
Te5 Te 0.765 0.750 0.508
Te6 Te 0.927 0.750 0.151
# SG = P2_1/m, No. 11
# Raw total energy = -4.105 eV per atom
# Total magnetization = 0.000 μB per atom
# Raw formation energy = -0.647 eV per atom

***

[7]
# TmAg2Sn3Te6, relaxed, DFT PBE
data_TmAg2Sn3Te6
_chemical_formula_sum 'Tm1 Ag2 Sn3 Te6'
_cell_length_a 7.607
_cell_length_b 7.607
_cell_length_c 7.648
_cell_angle_alpha 99.54
_cell_angle_beta 99.54
_cell_angle_gamma 120.11
_symmetry_space_group_name_H-M 'P 1'
_symmetry_Int_Tables_number 1
loop_
_symmetry_equiv_pos_as_xyz
'x,y,z'
loop_
_atom_site_label
_atom_site_type_symbol
_atom_site_fract_x
_atom_site_fract_y
_atom_site_fract_z
Tm1 Tm 0.000 0.000 0.000
Ag1 Ag 0.328 0.672 0.000
Ag2 Ag 0.672 0.328 0.000
Sn1 Sn 0.159 0.841 0.500
Sn2 Sn 0.500 0.500 0.500
Sn3 Sn 0.841 0.159 0.500
Te1 Te 0.080 0.412 0.236
Te2 Te 0.255 0.255 0.762
Te3 Te 0.412 0.080 0.236
Te4 Te 0.588 0.920 0.764
Te5 Te 0.745 0.745 0.238
Te6 Te 0.920 0.588 0.764
# SG = C2/m, No. 12
# Raw total energy = -3.826 eV per atom
# Total magnetization = 0.000 μB per atom
# Raw formation energy = -0.407 eV per atom

***

[8]
# Tm2AgSn3Te6, relaxed, DFT PBE
data_Tm2AgSn3Te6
_chemical_formula_sum 'Tm2 Ag1 Sn3 Te6'
_cell_length_a 10.038
_cell_length_b 10.038
_cell_length_c 8.962
_cell_angle_alpha 103.81
_cell_angle_beta 103.81
_cell_angle_gamma 25.25
_symmetry_space_group_name_H-M 'P 1'
_symmetry_Int_Tables_number 1
loop_
_symmetry_equiv_pos_as_xyz
'x,y,z'
loop_
_atom_site_label
_atom_site_type_symbol
_atom_site_fract_x
_atom_site_fract_y
_atom_site_fract_z
Tm1 Tm 0.166 0.166 0.335
Tm2 Tm 0.834 0.834 0.665
Ag1 Ag 0.500 0.500 0.000
Sn1 Sn 0.161 0.161 0.841
Sn2 Sn 0.500 0.500 0.500
Sn3 Sn 0.839 0.839 0.159
Te1 Te 0.007 0.007 0.237
Te2 Te 0.328 0.328 0.901
Te3 Te 0.330 0.330 0.423
Te4 Te 0.670 0.670 0.577
Te5 Te 0.672 0.672 0.099
Te6 Te 0.993 0.993 0.763
# SG = C2/m, No. 12
# Raw total energy = -4.124 eV per atom
# Total magnetization = 0.000 μB per atom
# Raw formation energy = -0.569 eV per atom

***

[9]
# VAgSnTe2, relaxed, DFT PBE
data_VAgSnTe2
_chemical_formula_sum 'V1 Ag1 Sn1 Te2'
_cell_length_a 5.766
_cell_length_b 5.766
_cell_length_c 5.161
_cell_angle_alpha 90.00
_cell_angle_beta 90.00
_cell_angle_gamma 90.00
_symmetry_space_group_name_H-M 'P 1'
_symmetry_Int_Tables_number 1
loop_
_symmetry_equiv_pos_as_xyz
'x,y,z'
loop_
_atom_site_label
_atom_site_type_symbol
_atom_site_fract_x
_atom_site_fract_y
_atom_site_fract_z
V1 V 0.000 0.000 0.000
Ag1 Ag 0.500 0.500 0.000
Sn1 Sn 0.000 0.000 0.500
Te1 Te 0.000 0.500 0.500
Te2 Te 0.500 0.000 0.500
# SG = P4/mmm, No. 123
# Raw total energy = -3.520 eV per atom
# Total magnetization = 0.671 μB per atom
# Raw formation energy = 0.932 eV per atom

***

[10]
# Y2AgSn3Te6, relaxed, DFT PBE
data_Y2AgSn3Te6
_chemical_formula_sum 'Y2 Ag1 Sn3 Te6'
_cell_length_a 10.078
_cell_length_b 10.078
_cell_length_c 9.003
_cell_angle_alpha 103.35
_cell_angle_beta 103.35
_cell_angle_gamma 25.13
_symmetry_space_group_name_H-M 'P 1'
_symmetry_Int_Tables_number 1
loop_
_symmetry_equiv_pos_as_xyz
'x,y,z'
loop_
_atom_site_label
_atom_site_type_symbol
_atom_site_fract_x
_atom_site_fract_y
_atom_site_fract_z
Y1 Y 0.168 0.168 0.342
Y2 Y 0.832 0.832 0.658
Ag1 Ag 0.500 0.500 0.000
Sn1 Sn 0.159 0.159 0.847
Sn2 Sn 0.500 0.500 0.500
Sn3 Sn 0.841 0.841 0.153
Te1 Te 0.008 0.008 0.236
Te2 Te 0.325 0.325 0.899
Te3 Te 0.332 0.332 0.414
Te4 Te 0.668 0.668 0.586
Te5 Te 0.675 0.675 0.101
Te6 Te 0.992 0.992 0.764
# SG = C2/m, No. 12
# Raw total energy = -4.488 eV per atom
# Total magnetization = 0.000 μB per atom
# Raw formation energy = -0.601 eV per atom

***

[11]
# YAgSnTe3, relaxed, DFT PBE
data_YAgSnTe3
_chemical_formula_sum 'Y2 Ag2 Sn2 Te6'
_cell_length_a 8.902
_cell_length_b 4.342
_cell_length_c 9.860
_cell_angle_alpha 90.00
_cell_angle_beta 104.32
_cell_angle_gamma 90.00
_symmetry_space_group_name_H-M 'P 1'
_symmetry_Int_Tables_number 1
loop_
_symmetry_equiv_pos_as_xyz
'x,y,z'
loop_
_atom_site_label
_atom_site_type_symbol
_atom_site_fract_x
_atom_site_fract_y
_atom_site_fract_z
Y1 Y 0.177 0.250 0.175
Y2 Y 0.823 0.750 0.825
Ag1 Ag 0.415 0.750 0.415
Ag2 Ag 0.585 0.250 0.585
Sn1 Sn 0.308 0.750 0.757
Sn2 Sn 0.692 0.250 0.243
Te1 Te 0.076 0.250 0.847
Te2 Te 0.240 0.250 0.496
Te3 Te 0.408 0.750 0.127
Te4 Te 0.592 0.250 0.873
Te5 Te 0.760 0.750 0.504
Te6 Te 0.924 0.750 0.153
# SG = P2_1/m, No. 11
# Raw total energy = -4.464 eV per atom
# Total magnetization = 0.000 μB per atom
# Raw formation energy = -0.674 eV per atom

***

[12]
# ZrAgSnTe2, relaxed, DFT PBE
data_ZrAgSnTe2
_chemical_formula_sum 'Zr1 Ag1 Sn1 Te2'
_cell_length_a 5.466
_cell_length_b 5.466
_cell_length_c 5.114
_cell_angle_alpha 90.00
_cell_angle_beta 90.00
_cell_angle_gamma 90.00
_symmetry_space_group_name_H-M 'P 1'
_symmetry_Int_Tables_number 1
loop_
_symmetry_equiv_pos_as_xyz
'x,y,z'
loop_
_atom_site_label
_atom_site_type_symbol
_atom_site_fract_x
_atom_site_fract_y
_atom_site_fract_z
Zr1 Zr 0.000 0.000 0.000
Ag1 Ag 0.500 0.500 0.500
Sn1 Sn 0.500 0.500 0.000
Te1 Te 0.000 0.500 0.500
Te2 Te 0.500 0.000 0.500
# SG = P4/mmm, No. 123
# Raw total energy = -3.737 eV per atom
# Total magnetization = 0.293 μB per atom
# Raw formation energy = 0.601 eV per atom